1.
Density functional theory data (PBE-GGA) for a relaxed structure of TaSi2As.

a b c (Å): 3.615 3.615 5.072
angles (deg): 90.00 90.00 90.00
Fractional positions:
Ta: 0.000 0.000 0.000
Si: 0.000 0.500 0.500
Si: 0.500 0.000 0.500
As: 0.500 0.500 0.000

## Properties
Crystal system   tetragonal
Uncorrected formation energy   290 meV per atom
Fermi-level density of states   1.63 states/eV/cell
Final energy   -26.2 eV for the cell shown

=====

2.
Density functional theory data (PBE-GGA) for a relaxed structure of TaSi2As.

a b c (Å): 3.246 4.367 4.496
angles (deg): 90.00 90.00 90.00
Fractional positions:
Ta: 0.000 0.000 0.000
Si: 0.000 0.500 0.500
Si: 0.500 0.000 0.500
As: 0.500 0.500 0.000

## Properties
Crystal system   orthorhombic
Uncorrected formation energy   272 meV per atom
Fermi-level density of states   2.26 states/eV/cell
Final energy   -26.3 eV for the cell shown

=====

3.
Density functional theory data (PBE-GGA) for a relaxed structure of TaSiAs.

a b c (Å): 3.516 3.516 7.918
angles (deg): 90.00 90.00 90.00
Fractional positions:
Ta: 0.250 0.250 0.246
Ta: 0.750 0.750 0.754
Si: 0.250 0.750 0.500
Si: 0.750 0.250 0.500
As: 0.250 0.250 0.890
As: 0.750 0.750 0.110

## Properties
Crystal system   tetragonal
Uncorrected formation energy   -518 meV per atom
Energy relative to the lowest polymorph listed for this composition   0.000 eV/atom
Fermi-level density of states   1.26 states/eV/cell
Final energy   -47.0 eV for the cell shown

=====

4.
Density functional theory data (PBE-GGA) for a relaxed structure of TaSi2As.

a b c (Å): 5.854 7.839 2.771
angles (deg): 90.00 90.00 90.00
Fractional positions:
Ta: 0.000 0.000 0.000
Ta: 0.500 0.500 0.000
Si: 0.250 0.250 0.500
Si: 0.250 0.750 0.500
Si: 0.750 0.250 0.500
Si: 0.750 0.750 0.500
As: 0.000 0.500 0.000
As: 0.500 0.000 0.000

## Properties
Crystal system   orthorhombic
Uncorrected formation energy   184 meV per atom
Fermi-level density of states   4.19 states/eV/cell
Final energy   -53.2 eV for the cell shown

=====

5.
Density functional theory data (PBE-GGA) for a relaxed structure of Ta3SiAs.

a b c (Å): 4.666 4.666 4.666
angles (deg): 90.00 90.00 90.00
Fractional positions:
Ta: 0.000 0.000 0.500
Ta: 0.000 0.500 0.000
Ta: 0.500 0.000 0.000
Si: 0.000 0.000 0.000
As: 0.500 0.500 0.500

## Properties
Crystal system   cubic
Uncorrected formation energy   994 meV per atom
Energy relative to the lowest polymorph listed for this composition   0.000 eV/atom
Fermi-level density of states   5.97 states/eV/cell
Final energy   -40.7 eV for the cell shown

=====

6.
Density functional theory data (PBE-GGA) for a relaxed structure of TaSiAs.

a b c (Å): 3.364 3.364 8.337
angles (deg): 90.00 90.00 90.00
Fractional positions:
Ta: 0.000 0.000 0.000
Ta: 0.500 0.500 0.500
Si: 0.000 0.000 0.662
Si: 0.500 0.500 0.162
As: 0.000 0.000 0.336
As: 0.500 0.500 0.836

## Properties
Crystal system   tetragonal
Uncorrected formation energy   -314 meV per atom
Energy relative to the lowest polymorph listed for this composition   0.203 eV/atom
Fermi-level density of states   2.28 states/eV/cell
Final energy   -45.7 eV for the cell shown